Below is crystalline ErHfNb at its relaxed geometry, with properties calculated at the GGA-PBE level.

Output
ΔE_f in eV/atom: 0.161
Fermi-level density of states in states/eV/cell: 7.1
Distance to the lowest polymorph of the same formula in meV/atom: 0
Size of the total moment in μB per formula unit: 0.0
Space-group type: I4mm

The structure in POSCAR format:
```
ErHfNb
1.0
3.653 0.000 0.000
0.000 3.653 0.000
0.000 0.000 10.572
Er Hf Nb
2 2 2
Cartesian
0.000 0.000 0.000
1.826 1.826 5.286
0.000 0.000 3.162
1.826 1.826 8.448
0.000 0.000 7.304
1.826 1.826 2.018
```

***

Below is crystalline MgBiIN2 at its relaxed geometry, with properties calculated at the GGA-PBE level.

Output
Raw formation energy in eV per atom: 1.240
Fermi-level density of states in states/eV/cell: 2.1
Distance to the lowest polymorph of the same formula in meV/atom: 4
Size of the total moment in μB per formula unit: 2.6
Space-group type: P4/mmm

The structure in POSCAR format:
```
MgBiIN2
1.0
4.457 0.000 0.000
0.000 4.457 0.000
0.000 0.000 5.603
Mg Bi I N
1 1 1 2
Cartesian
0.000 0.000 0.000
2.229 2.229 2.802
0.000 0.000 2.802
0.000 2.229 0.000
2.229 0.000 0.000
```

***

Below is crystalline PaMnAlAu at its relaxed geometry, with properties calculated at the GGA-PBE level.

Output
ΔE_f in eV/atom: -0.064
Fermi-level density of states in states/eV/cell: 15.7
Size of the total moment in μB per formula unit: 2.5
Space-group type: F-43m

The structure in POSCAR format:
```
PaMnAlAu
1.0
6.738 0.000 0.000
0.000 6.738 0.000
0.000 0.000 6.738
Pa Mn Al Au
4 4 4 4
Cartesian
0.000 0.000 0.000
0.000 3.369 3.369
3.369 0.000 3.369
3.369 3.369 0.000
1.685 1.685 1.685
1.685 5.054 5.054
5.054 1.685 5.054
5.054 5.054 1.685
0.000 0.000 3.369
0.000 3.369 0.000
3.369 0.000 0.000
3.369 3.369 3.369
1.685 1.685 5.054
1.685 5.054 1.685
5.054 1.685 1.685
5.054 5.054 5.054
```

***

Below is crystalline MgTl2Cd at its relaxed geometry, with properties calculated at the GGA-PBE level.

Output
ΔE_f in eV/atom: 0.018
Fermi-level density of states in states/eV/cell: 3.3
Distance to the lowest polymorph of the same formula in meV/atom: 24
Size of the total moment in μB per formula unit: 0.0
Space-group type: Imm2

The structure in POSCAR format:
```
MgTl2Cd
1.0
3.558 0.000 0.000
0.000 5.320 0.000
0.000 0.000 11.165
Mg Tl Cd
2 4 2
Cartesian
0.000 0.000 0.000
1.779 2.660 5.582
0.000 0.000 5.790
0.000 2.660 8.311
1.779 0.000 2.728
1.779 2.660 0.207
0.000 2.660 3.087
1.779 0.000 8.669
```

***

Below is crystalline TlGaPtSe at its relaxed geometry, with properties calculated at the GGA-PBE level.

Output
Raw formation energy in eV per atom: -0.259
Fermi-level density of states in states/eV/cell: 2.2
Distance to the lowest polymorph of the same formula in meV/atom: 55
Size of the total moment in μB per formula unit: 0.0
Space-group type: Cm

The structure in POSCAR format:
```
TlGaPtSe
1.0
10.478 0.000 0.000
0.000 4.656 0.000
-1.720 0.000 3.960
Tl Ga Pt Se
2 2 2 2
Cartesian
0.000 0.000 0.000
5.239 2.328 0.000
0.299 2.328 2.514
5.538 0.000 2.514
2.294 2.328 1.027
7.533 0.000 1.027
3.164 0.000 1.469
8.403 2.328 1.469
```

***

Below is crystalline NaAsS4 at its relaxed geometry, with properties calculated at the GGA-PBE level.

Output
Raw formation energy in eV per atom: -0.189
Fermi-level density of states in states/eV/cell: 4.9
Size of the total moment in μB per formula unit: 0.9
Space-group type: C2/c

The structure in POSCAR format:
```
NaAsS4
1.0
3.826 -8.529 0.000
3.826 8.529 0.000
-3.789 0.000 5.280
Na As S
2 2 8
Cartesian
0.985 7.158 3.960
2.879 -7.158 1.320
2.879 0.702 1.320
0.985 -0.702 3.960
2.101 4.445 1.875
-0.817 0.662 4.017
3.658 4.445 0.764
1.077 -0.662 1.378
2.787 0.662 3.902
0.206 -4.445 4.515
4.681 -0.662 1.262
1.763 -4.445 3.404
```

***

Below is crystalline Pa4Ge2PSe at its relaxed geometry, with properties calculated at the GGA-PBE level.

Output
Raw formation energy in eV per atom: -0.879
Fermi-level density of states in states/eV/cell: 9.2
Size of the total moment in μB per formula unit: 0.0
Space-group type: P2/m

The structure in POSCAR format:
```
Pa4Ge2PSe
1.0
7.020 0.000 0.000
0.000 4.087 0.000
-2.376 0.000 6.684
Pa Ge P Se
4 2 1 1
Cartesian
1.127 0.000 1.606
-0.065 2.043 5.056
4.709 2.043 1.628
3.517 0.000 5.079
3.510 0.000 0.000
2.322 2.043 3.342
0.000 2.043 0.000
-1.188 0.000 3.342
```

***

Below is crystalline Y2Pu3ScTe6 at its relaxed geometry, with properties calculated at the GGA-PBE level.

Output
Raw formation energy in eV per atom: -1.186
Fermi-level density of states in states/eV/cell: 33.0
Size of the total moment in μB per formula unit: 18.0
Space-group type: C2/m

The structure in POSCAR format:
```
Y2Pu3ScTe6
1.0
9.547 -2.172 0.000
9.547 2.172 0.000
-2.145 0.000 8.506
Y Pu Sc Te
2 3 1 6
Cartesian
2.451 0.000 2.835
14.499 0.000 5.671
1.443 0.000 7.107
8.475 0.000 4.253
15.508 0.000 1.399
9.547 0.000 0.000
-1.625 0.000 6.491
5.446 0.000 3.557
4.510 0.000 7.795
12.440 0.000 0.711
11.504 0.000 4.949
18.575 0.000 2.015
```

***

Look up the size of the total moment of the fifth one. 0.0 μB per formula unit

***

What is the Fermi-level density of states in the third record? 15.7 states/eV/cell